A plane-wave DFT calculation with PBE was carried out for crystalline La2TbMg3Ir2Pd at its relaxed geometry.

Unit cell a=4.104 b=7.525 c=7.525 alpha=120.27 beta=90.00 gamma=90.00
Fractional positions:
La (0.000, 0.211, 0.789)
La (0.000, 0.789, 0.211)
Tb (0.000, 0.627, 0.627)
Mg (0.500, 0.217, 0.456)
Mg (0.500, 0.456, 0.217)
Mg (0.500, 0.963, 0.963)
Ir (0.500, 0.549, 0.874)
Ir (0.500, 0.874, 0.549)
Pd (0.000, 0.219, 0.219)

Summary:
VASP energy   -5.34 eV/atom